A relaxed SiTeP2 crystal, computed with GGA-PBEsol.

Results
- magnetic moment (μB per cell) = 0.00
- space-group type = No. 71
- ΔE to the lowest computed polymorph (eV/atom) = 0.3478
- formation energy without anion corrections (eV per formula unit) = 1.8
- raw total energy (eV/atom) = -4.753

Lattice parameters (Å, degrees): 5.506 5.506 5.506 145.03 127.60 64.56
Positions (direct):
Si  0.000  0.000  0.000
Te  0.500  0.500  0.000
P  0.182  0.682  0.500
P  0.818  0.318  0.500